No. 1
Computed, not measured: an optimized crystal structure of UTlCu2Br8 at the PBE-GGA level of DFT.

```
data_UTlCu2Br8
_chemical_formula_sum 'U2 Tl2 Cu4 Br16'
_space_group_name_H-M_alt 'C 1 2/m 1'
_space_group_IT_number 12
_cell_length_a 10.9991
_cell_length_b 7.8577
_cell_length_c 9.8525
_cell_angle_alpha 90.00
_cell_angle_beta 91.42
_cell_angle_gamma 90.00
loop_
_space_group_symop_operation_xyz
'x,y,z'
'-x,-y,-z'
'-x,y,-z'
'x,-y,z'
'x+1/2,y+1/2,z'
'-x+1/2,-y+1/2,-z'
'-x+1/2,y+1/2,-z'
'x+1/2,-y+1/2,z'
loop_
_atom_site_label
_atom_site_type_symbol
_atom_site_fract_x
_atom_site_fract_y
_atom_site_fract_z
U1 U 0.0000 0.0000 0.0000
Tl1 Tl 0.0000 0.0000 0.5000
Cu1 Cu 0.1534 0.5000 0.7689
Br1 Br 0.0047 0.2444 0.8021
Br2 Br 0.2045 0.5000 0.5448
Br3 Br 0.2494 0.0000 0.0092
```

=====

No. 2
Computed, not measured: an optimized crystal structure of K2Sr5Cl12 at the PBE-GGA level of DFT.

```
data_K2Sr5Cl12
_chemical_formula_sum 'K4 Sr10 Cl24'
_space_group_name_H-M_alt 'C 1 2/m 1'
_space_group_IT_number 12
_cell_length_a 15.8400
_cell_length_b 8.4190
_cell_length_c 10.1890
_cell_angle_alpha 90.00
_cell_angle_beta 113.69
_cell_angle_gamma 90.00
loop_
_space_group_symop_operation_xyz
'x,y,z'
'-x,-y,-z'
'-x,y,-z'
'x,-y,z'
'x+1/2,y+1/2,z'
'-x+1/2,-y+1/2,-z'
'-x+1/2,y+1/2,-z'
'x+1/2,-y+1/2,z'
loop_
_atom_site_label
_atom_site_type_symbol
_atom_site_fract_x
_atom_site_fract_y
_atom_site_fract_z
K1 K 0.0000 0.2249 0.0000
Sr1 Sr 0.0000 0.0000 0.5000
Sr2 Sr 0.1953 0.5000 0.3799
Sr3 Sr 0.2201 0.5000 0.9443
Cl1 Cl 0.0177 0.5000 0.8084
Cl2 Cl 0.0841 0.0000 0.8309
Cl3 Cl 0.1380 0.2159 0.4870
Cl4 Cl 0.2057 0.2746 0.1508
```

=====

| no. | DOS(E_F) (states/eV per atom) | final energy (eV/atom) |
| --- | --- | --- |
| 1 | 0.161 | -3.744 |
| 2 | 0.000 | -4.034 |